[1]
! SiPdSe3, relaxed, DFT PBE; values from VASP
&SYSTEM
  ibrav = 0, nat = 5, ntyp = 3
/
ATOMIC_SPECIES
Si 28.09 Si.upf
Pd 106.42 Pd.upf
Se 78.96 Se.upf
CELL_PARAMETERS angstrom
4.928 0.000 0.000
0.000 4.928 0.000
0.000 0.000 4.928
ATOMIC_POSITIONS crystal
Si 0.000 0.000 0.000
Pd 0.500 0.500 0.500
Se 0.000 0.500 0.500
Se 0.500 0.000 0.500
Se 0.500 0.500 0.000
! Crystal system: cubic
! Raw formation energy in eV/atom: 0.589
! DOS at the Fermi energy in states/eV/f.u.: 3.54
! Total moment in μB per formula unit: 0.0



[2]
! SiPdSe3, relaxed, DFT PBE; values from VASP
&SYSTEM
  ibrav = 0, nat = 5, ntyp = 3
/
ATOMIC_SPECIES
Si 28.09 Si.upf
Pd 106.42 Pd.upf
Se 78.96 Se.upf
CELL_PARAMETERS angstrom
4.788 0.000 0.000
0.000 4.788 0.000
0.000 0.000 4.788
ATOMIC_POSITIONS crystal
Si 0.000 0.000 0.000
Pd 0.500 0.500 0.500
Se 0.000 0.000 0.500
Se 0.000 0.500 0.000
Se 0.500 0.000 0.000
! Crystal system: cubic
! Raw formation energy in eV/atom: 0.544
! DOS at the Fermi energy in states/eV/f.u.: 6.78
! Total moment in μB per formula unit: 0.0



[3]
! SiPd3Se, relaxed, DFT PBE; values from VASP
&SYSTEM
  ibrav = 0, nat = 5, ntyp = 3
/
ATOMIC_SPECIES
Si 28.09 Si.upf
Pd 106.42 Pd.upf
Se 78.96 Se.upf
CELL_PARAMETERS angstrom
4.689 0.000 0.000
0.000 4.689 0.000
0.000 0.000 4.689
ATOMIC_POSITIONS crystal
Si 0.000 0.000 0.000
Pd 0.000 0.500 0.500
Pd 0.500 0.000 0.500
Pd 0.500 0.500 0.000
Se 0.500 0.500 0.500
! Energy relative to the lowest polymorph listed for this composition in eV/atom: 0.321
! Crystal system: cubic
! Raw formation energy in eV/atom: 0.372
! DOS at the Fermi energy in states/eV/f.u.: 0.01
! Total moment in μB per formula unit: 0.0



[4]
! Si2PdSe2, relaxed, DFT PBE; values from VASP
&SYSTEM
  ibrav = 0, nat = 10, ntyp = 3
/
ATOMIC_SPECIES
Si 28.09 Si.upf
Pd 106.42 Pd.upf
Se 78.96 Se.upf
CELL_PARAMETERS angstrom
7.086 0.000 0.000
0.000 7.086 0.000
0.000 0.000 3.786
ATOMIC_POSITIONS crystal
Si 0.162 0.338 0.000
Si 0.338 0.838 0.000
Si 0.662 0.162 0.000
Si 0.838 0.662 0.000
Pd 0.000 0.000 0.000
Pd 0.500 0.500 0.000
Se 0.181 0.681 0.500
Se 0.319 0.181 0.500
Se 0.681 0.819 0.500
Se 0.819 0.319 0.500
! Energy relative to the lowest polymorph listed for this composition in eV/atom: 0.085
! Crystal system: tetragonal
! Raw formation energy in eV/atom: 0.191
! DOS at the Fermi energy in states/eV/f.u.: 2.03
! Total moment in μB per formula unit: 0.0



[5]
! Si2PdSe6, relaxed, DFT PBE; values from VASP
&SYSTEM
  ibrav = 0, nat = 18, ntyp = 3
/
ATOMIC_SPECIES
Si 28.09 Si.upf
Pd 106.42 Pd.upf
Se 78.96 Se.upf
CELL_PARAMETERS angstrom
5.966 -5.647 0.000
5.966 5.647 0.000
-1.222 0.000 6.296
ATOMIC_POSITIONS crystal
Si 0.112 0.271 0.331
Si 0.271 0.112 0.831
Si 0.729 0.888 0.169
Si 0.888 0.729 0.669
Pd 0.395 0.605 0.750
Pd 0.605 0.395 0.250
Se 0.031 0.211 0.643
Se 0.111 0.622 0.869
Se 0.211 0.031 0.143
Se 0.309 0.473 0.367
Se 0.378 0.889 0.631
Se 0.473 0.309 0.867
Se 0.527 0.691 0.133
Se 0.622 0.111 0.369
Se 0.691 0.527 0.633
Se 0.789 0.969 0.857
Se 0.889 0.378 0.131
Se 0.969 0.789 0.357
! Crystal system: monoclinic
! Raw formation energy in eV/atom: -0.220
! DOS at the Fermi energy in states/eV/f.u.: 5.31
! Total moment in μB per formula unit: 0.0



[6]
! TaSiPd2Se, relaxed, DFT PBE; values from VASP
&SYSTEM
  ibrav = 0, nat = 5, ntyp = 4
/
ATOMIC_SPECIES
Ta 180.95 Ta.upf
Si 28.09 Si.upf
Pd 106.42 Pd.upf
Se 78.96 Se.upf
CELL_PARAMETERS angstrom
4.550 0.000 0.000
0.000 4.550 0.000
0.000 0.000 4.841
ATOMIC_POSITIONS crystal
Ta 0.000 0.000 0.000
Si 0.500 0.500 0.000
Pd 0.000 0.500 0.500
Pd 0.500 0.000 0.500
Se 0.500 0.500 0.500
! Crystal system: tetragonal
! Raw formation energy in eV/atom: 0.939
! DOS at the Fermi energy in states/eV/f.u.: 3.14
! Total moment in μB per formula unit: 0.9



[7]
! TlSi2PdSe, relaxed, DFT PBE; values from VASP
&SYSTEM
  ibrav = 0, nat = 5, ntyp = 4
/
ATOMIC_SPECIES
Tl 204.38 Tl.upf
Si 28.09 Si.upf
Pd 106.42 Pd.upf
Se 78.96 Se.upf
CELL_PARAMETERS angstrom
5.129 0.000 0.000
0.000 5.129 0.000
0.000 0.000 5.378
ATOMIC_POSITIONS crystal
Tl 0.000 0.000 0.000
Si 0.000 0.500 0.000
Si 0.500 0.000 0.000
Pd 0.500 0.500 0.500
Se 0.000 0.000 0.500
! Crystal system: tetragonal
! Raw formation energy in eV/atom: 1.404
! DOS at the Fermi energy in states/eV/f.u.: 3.31
! Total moment in μB per formula unit: 0.0



[8]
! Tl2SiPdSe4, relaxed, DFT PBE; values from VASP
&SYSTEM
  ibrav = 0, nat = 16, ntyp = 4
/
ATOMIC_SPECIES
Tl 204.38 Tl.upf
Si 28.09 Si.upf
Pd 106.42 Pd.upf
Se 78.96 Se.upf
CELL_PARAMETERS angstrom
0.000 5.873 11.241
3.434 0.000 11.241
3.434 5.873 0.000
ATOMIC_POSITIONS crystal
Tl 0.070 0.070 0.680
Tl 0.320 0.320 0.930
Tl 0.680 0.680 0.070
Tl 0.930 0.930 0.320
Si 0.375 0.375 0.375
Si 0.625 0.625 0.625
Pd 0.125 0.125 0.125
Pd 0.875 0.875 0.875
Se 0.005 0.620 0.584
Se 0.292 0.584 0.620
Se 0.380 0.995 0.708
Se 0.416 0.708 0.995
Se 0.584 0.292 0.005
Se 0.620 0.005 0.292
Se 0.708 0.416 0.380
Se 0.995 0.380 0.416
! Crystal system: orthorhombic
! Raw formation energy in eV/atom: -0.307
! DOS at the Fermi energy in states/eV/f.u.: 1.71
! Total moment in μB per formula unit: 0.0



[9]
! SmPdSe, relaxed, DFT PBE; values from VASP
&SYSTEM
  ibrav = 0, nat = 3, ntyp = 3
/
ATOMIC_SPECIES
Sm 150.36 Sm.upf
Pd 106.42 Pd.upf
Se 78.96 Se.upf
CELL_PARAMETERS angstrom
4.386 0.000 0.000
-2.193 3.799 0.000
0.000 0.000 3.840
ATOMIC_POSITIONS crystal
Sm 0.000 0.000 0.000
Pd 0.667 0.333 0.500
Se 0.333 0.667 0.500
! Energy relative to the lowest polymorph listed for this composition in eV/atom: 0.000
! Crystal system: hexagonal
! Raw formation energy in eV/atom: -1.162
! DOS at the Fermi energy in states/eV/f.u.: 1.93
! Total moment in μB per formula unit: 0.0



[10]
! SmPdSe, relaxed, DFT PBE; values from VASP
&SYSTEM
  ibrav = 0, nat = 3, ntyp = 3
/
ATOMIC_SPECIES
Sm 150.36 Sm.upf
Pd 106.42 Pd.upf
Se 78.96 Se.upf
CELL_PARAMETERS angstrom
-1.937 1.937 4.451
1.937 -1.937 4.451
1.937 1.937 -4.451
ATOMIC_POSITIONS crystal
Sm 0.000 0.000 0.000
Pd 0.339 0.339 0.000
Se 0.643 0.643 0.000
! Energy relative to the lowest polymorph listed for this composition in eV/atom: 0.173
! Crystal system: tetragonal
! Raw formation energy in eV/atom: -0.990
! DOS at the Fermi energy in states/eV/f.u.: 1.11
! Total moment in μB per formula unit: 0.0



[11]
! Sm2PdSe, relaxed, DFT PBE; values from VASP
&SYSTEM
  ibrav = 0, nat = 4, ntyp = 3
/
ATOMIC_SPECIES
Sm 150.36 Sm.upf
Pd 106.42 Pd.upf
Se 78.96 Se.upf
CELL_PARAMETERS angstrom
2.041 1.179 7.266
-2.041 1.179 7.266
0.000 -2.357 7.266
ATOMIC_POSITIONS crystal
Sm 0.246 0.246 0.246
Sm 0.754 0.754 0.754
Pd 0.500 0.500 0.500
Se 0.000 0.000 0.000
! Energy relative to the lowest polymorph listed for this composition in eV/atom: 0.072
! Crystal system: trigonal
! Raw formation energy in eV/atom: -1.236
! DOS at the Fermi energy in states/eV/f.u.: 2.47
! Total moment in μB per formula unit: 0.0



[12]
! Sm3Pd5Se12, relaxed, DFT PBE; values from VASP
&SYSTEM
  ibrav = 0, nat = 80, ntyp = 3
/
ATOMIC_SPECIES
Sm 150.36 Sm.upf
Pd 106.42 Pd.upf
Se 78.96 Se.upf
CELL_PARAMETERS angstrom
-7.928 7.928 7.928
7.928 -7.928 7.928
7.928 7.928 -7.928
ATOMIC_POSITIONS crystal
Sm 0.125 0.250 0.375
Sm 0.125 0.375 0.750
Sm 0.250 0.375 0.125
Sm 0.250 0.875 0.625
Sm 0.375 0.125 0.250
Sm 0.375 0.750 0.125
Sm 0.625 0.250 0.875
Sm 0.625 0.875 0.750
Sm 0.750 0.125 0.375
Sm 0.750 0.625 0.875
Sm 0.875 0.625 0.250
Sm 0.875 0.750 0.625
Pd 0.000 0.000 0.000
Pd 0.000 0.000 0.500
Pd 0.000 0.500 0.000
Pd 0.000 0.500 0.500
Pd 0.125 0.750 0.875
Pd 0.125 0.875 0.250
Pd 0.250 0.125 0.875
Pd 0.250 0.625 0.375
Pd 0.375 0.250 0.625
Pd 0.375 0.625 0.750
Pd 0.500 0.000 0.000
Pd 0.500 0.000 0.500
Pd 0.500 0.500 0.000
Pd 0.500 0.500 0.500
Pd 0.625 0.375 0.250
Pd 0.625 0.750 0.375
Pd 0.750 0.375 0.625
Pd 0.750 0.875 0.125
Pd 0.875 0.125 0.750
Pd 0.875 0.250 0.125
Se 0.036 0.206 0.125
Se 0.036 0.329 0.911
Se 0.082 0.706 0.671
Se 0.082 0.875 0.411
Se 0.089 0.625 0.418
Se 0.089 0.964 0.671
Se 0.125 0.036 0.206
Se 0.125 0.589 0.918
Se 0.171 0.206 0.582
Se 0.171 0.464 0.589
Se 0.206 0.125 0.036
Se 0.206 0.582 0.171
Se 0.294 0.329 0.918
Se 0.294 0.464 0.375
Se 0.329 0.911 0.036
Se 0.329 0.918 0.294
Se 0.375 0.294 0.464
Se 0.375 0.582 0.911
Se 0.411 0.082 0.875
Se 0.411 0.829 0.536
Se 0.418 0.089 0.625
Se 0.418 0.829 0.794
Se 0.464 0.375 0.294
Se 0.464 0.589 0.171
Se 0.536 0.411 0.829
Se 0.536 0.625 0.706
Se 0.582 0.171 0.206
Se 0.582 0.911 0.375
Se 0.589 0.171 0.464
Se 0.589 0.918 0.125
Se 0.625 0.418 0.089
Se 0.625 0.706 0.536
Se 0.671 0.082 0.706
Se 0.671 0.089 0.964
Se 0.706 0.536 0.625
Se 0.706 0.671 0.082
Se 0.794 0.418 0.829
Se 0.794 0.875 0.964
Se 0.829 0.536 0.411
Se 0.829 0.794 0.418
Se 0.875 0.411 0.082
Se 0.875 0.964 0.794
Se 0.911 0.036 0.329
Se 0.911 0.375 0.582
Se 0.918 0.125 0.589
Se 0.918 0.294 0.329
Se 0.964 0.671 0.089
Se 0.964 0.794 0.875
! Crystal system: cubic
! Raw formation energy in eV/atom: -0.726
! DOS at the Fermi energy in states/eV/f.u.: 15.71
! Total moment in μB per formula unit: 0.0



[13]
! Sm5PdSe4, relaxed, DFT PBE; values from VASP
&SYSTEM
  ibrav = 0, nat = 10, ntyp = 3
/
ATOMIC_SPECIES
Sm 150.36 Sm.upf
Pd 106.42 Pd.upf
Se 78.96 Se.upf
CELL_PARAMETERS angstrom
-2.084 2.084 14.856
2.084 -2.084 14.856
2.084 2.084 -14.856
ATOMIC_POSITIONS crystal
Sm 0.000 0.000 0.000
Sm 0.201 0.201 0.000
Sm 0.400 0.400 0.000
Sm 0.600 0.600 0.000
Sm 0.799 0.799 0.000
Pd 0.500 0.500 0.000
Se 0.101 0.101 0.000
Se 0.301 0.301 0.000
Se 0.699 0.699 0.000
Se 0.899 0.899 0.000
! Crystal system: tetragonal
! Raw formation energy in eV/atom: -1.594
! DOS at the Fermi energy in states/eV/f.u.: 5.80
! Total moment in μB per formula unit: 0.0



[14]
! Sm2PdSe, relaxed, DFT PBE; values from VASP
&SYSTEM
  ibrav = 0, nat = 8, ntyp = 3
/
ATOMIC_SPECIES
Sm 150.36 Sm.upf
Pd 106.42 Pd.upf
Se 78.96 Se.upf
CELL_PARAMETERS angstrom
1.989 -11.615 0.000
1.989 11.615 0.000
0.000 0.000 4.338
ATOMIC_POSITIONS crystal
Sm 0.064 0.936 0.750
Sm 0.317 0.683 0.750
Sm 0.683 0.317 0.250
Sm 0.936 0.064 0.250
Pd 0.458 0.542 0.750
Pd 0.542 0.458 0.250
Se 0.191 0.809 0.750
Se 0.809 0.191 0.250
! Energy relative to the lowest polymorph listed for this composition in eV/atom: 0.000
! Crystal system: orthorhombic
! Raw formation energy in eV/atom: -1.309
! DOS at the Fermi energy in states/eV/f.u.: 2.26
! Total moment in μB per formula unit: 0.0



[15]
! SmPdSe2, relaxed, DFT PBE; values from VASP
&SYSTEM
  ibrav = 0, nat = 4, ntyp = 3
/
ATOMIC_SPECIES
Sm 150.36 Sm.upf
Pd 106.42 Pd.upf
Se 78.96 Se.upf
CELL_PARAMETERS angstrom
2.072 1.196 6.208
-2.072 1.196 6.208
0.000 -2.392 6.208
ATOMIC_POSITIONS crystal
Sm 0.000 0.000 0.000
Pd 0.816 0.816 0.816
Se 0.240 0.240 0.240
Se 0.425 0.425 0.425
! Energy relative to the lowest polymorph listed for this composition in eV/atom: 0.053
! Crystal system: trigonal
! Raw formation energy in eV/atom: -0.984
! DOS at the Fermi energy in states/eV/f.u.: 5.04
! Total moment in μB per formula unit: 0.0



[16]
! SmPdSe, relaxed, DFT PBE; values from VASP
&SYSTEM
  ibrav = 0, nat = 6, ntyp = 3
/
ATOMIC_SPECIES
Sm 150.36 Sm.upf
Pd 106.42 Pd.upf
Se 78.96 Se.upf
CELL_PARAMETERS angstrom
-2.524 2.524 7.193
2.524 -2.524 7.193
2.524 2.524 -7.193
ATOMIC_POSITIONS crystal
Sm 0.000 0.000 0.000
Sm 0.750 0.250 0.500
Pd 0.193 0.193 0.000
Pd 0.943 0.443 0.500
Se 0.140 0.640 0.500
Se 0.390 0.390 0.000
! Energy relative to the lowest polymorph listed for this composition in eV/atom: 0.700
! Crystal system: tetragonal
! Raw formation energy in eV/atom: -0.462
! DOS at the Fermi energy in states/eV/f.u.: 2.78
! Total moment in μB per formula unit: 0.0



[17]
! SmPd3Se4, relaxed, DFT PBE; values from VASP
&SYSTEM
  ibrav = 0, nat = 16, ntyp = 3
/
ATOMIC_SPECIES
Sm 150.36 Sm.upf
Pd 106.42 Pd.upf
Se 78.96 Se.upf
CELL_PARAMETERS angstrom
7.069 0.000 0.000
0.000 7.069 0.000
0.000 0.000 7.069
ATOMIC_POSITIONS crystal
Sm 0.000 0.000 0.000
Sm 0.500 0.500 0.500
Pd 0.000 0.250 0.500
Pd 0.000 0.750 0.500
Pd 0.250 0.500 0.000
Pd 0.500 0.000 0.250
Pd 0.500 0.000 0.750
Pd 0.750 0.500 0.000
Se 0.250 0.250 0.250
Se 0.250 0.250 0.750
Se 0.250 0.750 0.250
Se 0.250 0.750 0.750
Se 0.750 0.250 0.250
Se 0.750 0.250 0.750
Se 0.750 0.750 0.250
Se 0.750 0.750 0.750
! Crystal system: cubic
! Raw formation energy in eV/atom: -0.796
! DOS at the Fermi energy in states/eV/f.u.: 2.80
! Total moment in μB per formula unit: 0.0



[18]
! Sm2PdSe, relaxed, DFT PBE; values from VASP
&SYSTEM
  ibrav = 0, nat = 4, ntyp = 3
/
ATOMIC_SPECIES
Sm 150.36 Sm.upf
Pd 106.42 Pd.upf
Se 78.96 Se.upf
CELL_PARAMETERS angstrom
2.044 1.180 7.359
-2.044 1.180 7.359
0.000 -2.360 7.359
ATOMIC_POSITIONS crystal
Sm 0.000 0.000 0.000
Sm 0.182 0.182 0.182
Pd 0.591 0.591 0.591
Se 0.758 0.758 0.758
! Energy relative to the lowest polymorph listed for this composition in eV/atom: 0.113
! Crystal system: trigonal
! Raw formation energy in eV/atom: -1.196
! DOS at the Fermi energy in states/eV/f.u.: 1.72
! Total moment in μB per formula unit: 0.0



[19]
! Sm3PdSe2, relaxed, DFT PBE; values from VASP
&SYSTEM
  ibrav = 0, nat = 6, ntyp = 3
/
ATOMIC_SPECIES
Sm 150.36 Sm.upf
Pd 106.42 Pd.upf
Se 78.96 Se.upf
CELL_PARAMETERS angstrom
-2.034 2.982 6.436
2.034 -2.982 6.436
2.034 2.982 -6.436
ATOMIC_POSITIONS crystal
Sm 0.000 0.000 0.000
Sm 0.337 0.337 0.000
Sm 0.663 0.663 0.000
Pd 0.500 0.000 0.500
Se 0.168 0.668 0.500
Se 0.832 0.332 0.500
! Crystal system: orthorhombic
! Raw formation energy in eV/atom: -1.423
! DOS at the Fermi energy in states/eV/f.u.: 6.68
! Total moment in μB per formula unit: 0.0



[20]
! SmPdSe2, relaxed, DFT PBE; values from VASP
&SYSTEM
  ibrav = 0, nat = 4, ntyp = 3
/
ATOMIC_SPECIES
Sm 150.36 Sm.upf
Pd 106.42 Pd.upf
Se 78.96 Se.upf
CELL_PARAMETERS angstrom
2.146 1.239 5.689
-2.146 1.239 5.689
0.000 -2.478 5.689
ATOMIC_POSITIONS crystal
Sm 0.000 0.000 0.000
Pd 0.500 0.500 0.500
Se 0.241 0.241 0.241
Se 0.759 0.759 0.759
! Energy relative to the lowest polymorph listed for this composition in eV/atom: 0.000
! Crystal system: trigonal
! Raw formation energy in eV/atom: -1.036
! DOS at the Fermi energy in states/eV/f.u.: 5.24
! Total moment in μB per formula unit: 0.0